# NbFeI2N

NbFeI2N after structural relaxation (PBE, the Alexandria database).

The energy relative to the elements, uncorrected comes out at 0.704 eV/atom. The value obtained for the total magnetization is 2.64 Bohr magnetons per cell. The energy above the most stable polymorph in this dataset is 111.9 meV per atom. The value obtained for the raw total energy is -26.44 eV for the cell shown.

Geometry as POSCAR:
```
NbFeI2N
1.0
5.371 0.000 0.000
0.000 5.371 0.000
0.000 0.000 3.475
Nb I N Fe
1 2 1 1
Direct
0.500 0.500 0.500 Nb
0.500 0.000 0.000 I
0.000 0.500 0.000 I
0.000 0.000 0.500 N
0.000 0.000 0.000 Fe
```